The following is a DFT calculation (PBE) of crystalline CdNiB2 at its relaxed geometry.

Calculated values
space-group type = Fm-3m (225)
formation energy from the elements = 1.156 eV per atom
excess energy over the best structure of this formula in the dataset = 78.5 kJ per mole of atoms

abc: 3.9558 3.9558 3.9558
angles: 60.00 60.00 60.00
Positions (direct):
Ni  0.0000  0.0000  0.0000
B  0.2500  0.2500  0.2500
B  0.7500  0.7500  0.7500
Cd  0.5000  0.5000  0.5000